Record 1
The following is a GGA-PBE calculation of an optimized crystal structure of Bi3O4F, from Alexandria.

Structure (POSCAR):
```
Bi3O4F
1.0
8.831 -2.907 0.000
8.831 2.907 0.000
-0.847 0.000 5.749
Bi O F
6 8 2
Direct
0.000 0.000 0.000 Bi
0.237 0.071 0.532 Bi
0.341 0.348 0.980 Bi
0.588 0.412 0.500 Bi
0.652 0.659 0.020 Bi
0.929 0.763 0.468 Bi
0.144 0.665 0.199 O
0.238 0.559 0.700 O
0.335 0.856 0.801 O
0.441 0.762 0.300 O
0.653 0.201 0.151 O
0.791 0.071 0.648 O
0.799 0.347 0.849 O
0.929 0.209 0.352 O
0.193 0.310 0.262 F
0.690 0.807 0.738 F
```

Summary:
ΔE to the lowest computed polymorph, eV per formula unit: 0.133
Theoretical density, g cm⁻³: 8.0
Raw formation energy, eV per atom: -1.4239

Record 2
The following is a GGA-PBE calculation of an optimized crystal structure of RbHfSCl2, from Alexandria.

Structure (POSCAR):
```
RbHfSCl2
1.0
5.105 0.000 0.000
0.000 5.105 0.000
0.000 0.000 4.964
Rb Hf S Cl
1 1 1 2
Direct
0.000 0.000 0.000 Rb
0.500 0.500 0.500 Hf
0.500 0.500 0.000 S
0.000 0.500 0.500 Cl
0.500 0.000 0.500 Cl
```

Summary:
ΔE to the lowest computed polymorph, eV per formula unit: 0.000
Theoretical density, g cm⁻³: 4.7
Raw formation energy, eV per atom: -1.5197

Record 3
The following is a GGA-PBE calculation of an optimized crystal structure of Tb3YBi3, from Alexandria.

Structure (POSCAR):
```
Tb3YBi3
1.0
9.426 0.000 0.000
0.000 9.426 0.000
0.000 0.000 9.426
Tb Y Bi
12 4 12
Direct
0.072 0.428 0.572 Tb
0.177 0.177 0.177 Tb
0.177 0.823 0.323 Tb
0.323 0.177 0.823 Tb
0.323 0.823 0.677 Tb
0.428 0.572 0.072 Tb
0.572 0.072 0.428 Tb
0.677 0.323 0.823 Tb
0.677 0.677 0.677 Tb
0.823 0.323 0.177 Tb
0.823 0.677 0.323 Tb
0.928 0.928 0.928 Tb
0.073 0.573 0.927 Y
0.427 0.427 0.427 Y
0.573 0.927 0.073 Y
0.927 0.073 0.573 Y
0.000 0.250 0.875 Bi
0.000 0.750 0.625 Bi
0.125 0.500 0.250 Bi
0.250 0.125 0.500 Bi
0.250 0.875 0.000 Bi
0.375 0.500 0.750 Bi
0.500 0.250 0.125 Bi
0.500 0.750 0.375 Bi
0.625 0.000 0.750 Bi
0.750 0.375 0.500 Bi
0.750 0.625 0.000 Bi
0.875 0.000 0.250 Bi
```

Summary:
Formation enthalpy at 0 K, eV per atom: -0.755
ΔE to the lowest computed polymorph, eV per formula unit: 0.000
Theoretical density, g cm⁻³: 9.5

Record 4
The following is a GGA-PBE calculation of an optimized crystal structure of MgZnC, from Alexandria.

Structure (POSCAR):
```
MgZnC
1.0
4.336 0.000 0.000
0.000 3.266 0.000
-0.006 0.000 6.905
Mg Zn C
2 2 2
Direct
0.000 0.000 0.000 Mg
0.499 0.500 0.740 Mg
0.001 0.500 0.324 Zn
0.999 0.000 0.603 Zn
0.353 0.500 0.093 C
0.647 0.500 0.093 C
```

Summary:
Formation enthalpy at 0 K, eV per atom: 0.345
Theoretical density, g cm⁻³: 3.5

Record 5
The following is a GGA-PBE calculation of an optimized crystal structure of Hf8Sb2Pb, from Alexandria.

Structure (POSCAR):
```
Hf8Sb2Pb
1.0
3.902 -6.551 0.000
3.902 6.551 0.000
-2.149 0.000 4.996
Hf Sb Pb
8 2 1
Direct
0.092 0.317 0.634 Hf
0.232 0.768 0.000 Hf
0.317 0.092 0.634 Hf
0.414 0.414 0.193 Hf
0.586 0.586 0.807 Hf
0.683 0.908 0.366 Hf
0.768 0.232 0.000 Hf
0.908 0.683 0.366 Hf
0.305 0.695 0.500 Sb
0.695 0.305 0.500 Sb
0.000 0.000 0.000 Pb
```

Summary:
Theoretical density, g cm⁻³: 12.2
Raw formation energy, eV per atom: -0.0466

Record 6
The following is a GGA-PBE calculation of an optimized crystal structure of CaLaZr2, from Alexandria.

Structure (POSCAR):
```
CaLaZr2
1.0
3.531 0.000 0.000
0.000 4.244 0.000
0.000 0.000 8.203
Ca La Zr
1 1 2
Direct
0.000 0.000 0.000 Ca
0.500 0.500 0.334 La
0.000 0.000 0.582 Zr
0.500 0.500 0.744 Zr
```

Summary:
Formation enthalpy at 0 K, eV per atom: 0.192
ΔE to the lowest computed polymorph, eV per formula unit: 0.106
Theoretical density, g cm⁻³: 4.9

Record 7
The following is a GGA-PBE calculation of an optimized crystal structure of TlSbP, from Alexandria.

Structure (POSCAR):
```
TlSbP
1.0
0.000 3.474 3.474
3.474 0.000 3.474
3.474 3.474 0.000
Tl Sb P
1 1 1
Direct
0.000 0.000 0.000 Tl
0.500 0.500 0.500 Sb
0.250 0.250 0.250 P
```

Summary:
ΔE to the lowest computed polymorph, eV per formula unit: 0.990
Theoretical density, g cm⁻³: 7.1
Raw formation energy, eV per atom: 0.4199

Record 8
The following is a GGA-PBE calculation of an optimized crystal structure of CuSiHg2, from Alexandria.

Structure (POSCAR):
```
CuSiHg2
1.0
2.810 0.000 0.000
0.000 3.838 0.000
0.000 0.000 8.194
Cu Si Hg
1 1 2
Direct
0.000 0.000 0.000 Cu
0.500 0.500 0.056 Si
0.000 0.000 0.663 Hg
0.500 0.500 0.382 Hg
```

Summary:
Theoretical density, g cm⁻³: 9.3
Raw formation energy, eV per atom: 0.2189